{
  "formula": "SrCoSn",
  "functional": "GGA-PBE",
  "state": "optimized geometry",
  "lattice": [[0.0000, 3.3391, 3.3391], [3.3391, 0.0000, 3.3391], [3.3391, 3.3391, 0.0000]],
  "species": ["Sr", "Co", "Sn"],
  "fractional_positions": [[0.0000, 0.0000, 0.0000], [0.7500, 0.7500, 0.7500], [0.5000, 0.5000, 0.5000]],
  "e_tot_ev_per_atom": -4.162
}